First-principles (SCAN) data for a crystal of Ta2InW relaxed with PBEsol, as listed in Alexandria via LeMat-Bulk.

Computed properties:
N(E_F)   2.24 states/eV/f.u.
Calculated density   15.36 Mg/m³
Calculated formation energy   0.06 eV per atom

Structure (CIF):
```
data_Ta2InW
_symmetry_space_group_name_H-M 'P 1'
_symmetry_Int_Tables_number 1
_symmetry_space_group_name_Hall 'P 1'
_cell_length_a 2.886
_cell_length_b 2.886
_cell_length_c 9.179
_cell_angle_alpha 90.00
_cell_angle_beta 90.00
_cell_angle_gamma 110.83
loop_
_atom_site_label
_atom_site_type_symbol
_atom_site_fract_x
_atom_site_fract_y
_atom_site_fract_z
Ta1 Ta 0.000 0.000 0.234
Ta2 Ta 0.000 0.000 0.766
In1 In 0.500 0.500 0.500
W1 W 0.500 0.500 0.000
```

***

First-principles (SCAN) data for a crystal of BaHgO2 relaxed with PBEsol, as listed in Alexandria via LeMat-Bulk.

Computed properties:
N(E_F)   0.00 states/eV/f.u.
Energy relative to the elements, uncorrected   -1.736 eV/atom
Calculated density   6.45 Mg/m³

Structure (CIF):
```
data_BaHgO2
_symmetry_space_group_name_H-M 'P 1'
_symmetry_Int_Tables_number 1
_symmetry_space_group_name_Hall 'P 1'
_cell_length_a 6.886
_cell_length_b 6.886
_cell_length_c 6.886
_cell_angle_alpha 34.87
_cell_angle_beta 34.87
_cell_angle_gamma 34.87
loop_
_atom_site_label
_atom_site_type_symbol
_atom_site_fract_x
_atom_site_fract_y
_atom_site_fract_z
Ba1 Ba 0.000 0.000 0.000
Hg1 Hg 0.500 0.500 0.500
O1 O 0.398 0.398 0.398
O2 O 0.602 0.602 0.602
```

***

First-principles (SCAN) data for a crystal of Li2CoIr relaxed with PBEsol, as listed in Alexandria via LeMat-Bulk.

Computed properties:
N(E_F)   1.72 states/eV/f.u.
Calculated density   8.95 Mg/m³
Calculated formation energy   -0.03 eV per atom

Structure (CIF):
```
data_Li2CoIr
_symmetry_space_group_name_H-M 'P 1'
_symmetry_Int_Tables_number 1
_symmetry_space_group_name_Hall 'P 1'
_cell_length_a 4.802
_cell_length_b 4.802
_cell_length_c 4.802
_cell_angle_alpha 137.93
_cell_angle_beta 137.93
_cell_angle_gamma 61.01
loop_
_atom_site_label
_atom_site_type_symbol
_atom_site_fract_x
_atom_site_fract_y
_atom_site_fract_z
Li1 Li 0.250 0.750 0.500
Li2 Li 0.750 0.250 0.500
Co1 Co 0.000 0.000 0.000
Ir1 Ir 0.500 0.500 0.000
```

***

First-principles (SCAN) data for a crystal of InPb2Au relaxed with PBEsol, as listed in Alexandria via LeMat-Bulk.

Computed properties:
N(E_F)   1.30 states/eV/f.u.
Calculated density   12.15 Mg/m³
Calculated formation energy   -0.04 eV per atom

Structure (CIF):
```
data_InPb2Au
_symmetry_space_group_name_H-M 'P 1'
_symmetry_Int_Tables_number 1
_symmetry_space_group_name_Hall 'P 1'
_cell_length_a 3.570
_cell_length_b 3.570
_cell_length_c 7.784
_cell_angle_alpha 90.00
_cell_angle_beta 90.00
_cell_angle_gamma 90.00
loop_
_atom_site_label
_atom_site_type_symbol
_atom_site_fract_x
_atom_site_fract_y
_atom_site_fract_z
In1 In 0.000 0.000 0.000
Pb1 Pb 0.000 0.000 0.583
Pb2 Pb 0.500 0.500 0.267
Au1 Au 0.500 0.500 0.815
```

***

First-principles (SCAN) data for a crystal of BaScOs3 relaxed with PBEsol, as listed in Alexandria via LeMat-Bulk.

Computed properties:
N(E_F)   3.83 states/eV/f.u.
Calculated density   11.22 Mg/m³
Calculated formation energy   1.78 eV per atom

Structure (CIF):
```
data_BaScOs3
_symmetry_space_group_name_H-M 'P 1'
_symmetry_Int_Tables_number 1
_symmetry_space_group_name_Hall 'P 1'
_cell_length_a 4.812
_cell_length_b 4.812
_cell_length_c 4.812
_cell_angle_alpha 90.00
_cell_angle_beta 90.00
_cell_angle_gamma 90.00
loop_
_atom_site_label
_atom_site_type_symbol
_atom_site_fract_x
_atom_site_fract_y
_atom_site_fract_z
Ba1 Ba 0.000 0.000 0.000
Sc1 Sc 0.500 0.500 0.500
Os1 Os 0.000 0.500 0.500
Os2 Os 0.500 0.000 0.500
Os3 Os 0.500 0.500 0.000
```

***

First-principles (SCAN) data for a crystal of Zn2CrIn relaxed with PBEsol, as listed in Alexandria via LeMat-Bulk.

Computed properties:
N(E_F)   1.44 states/eV/f.u.
Calculated density   7.81 Mg/m³
Calculated formation energy   0.06 eV per atom

Structure (CIF):
```
data_Zn2CrIn
_symmetry_space_group_name_H-M 'P 1'
_symmetry_Int_Tables_number 1
_symmetry_space_group_name_Hall 'P 1'
_cell_length_a 4.933
_cell_length_b 4.933
_cell_length_c 4.933
_cell_angle_alpha 132.85
_cell_angle_beta 132.85
_cell_angle_gamma 68.89
loop_
_atom_site_label
_atom_site_type_symbol
_atom_site_fract_x
_atom_site_fract_y
_atom_site_fract_z
Zn1 Zn 0.000 0.000 0.000
Zn2 Zn 0.750 0.250 0.500
Cr1 Cr 0.250 0.750 0.500
In1 In 0.500 0.500 0.000
```

***

Question: Which of these has the lowest calculated density?
Answer: BaHgO2